# KPa2BO8, optimized geometry, DFT PBE
data_KPa2BO8
_chemical_formula_sum 'K1 Pa2 B1 O8'
_cell_length_a 4.787
_cell_length_b 4.787
_cell_length_c 8.677
_cell_angle_alpha 90.00
_cell_angle_beta 90.00
_cell_angle_gamma 120.00
_space_group_name_H-M_alt 'P 1'
_space_group_IT_number 1
_space_group_name_Hall 'P 1'
loop_
_atom_site_label
_atom_site_type_symbol
_atom_site_fract_x
_atom_site_fract_y
_atom_site_fract_z
K1 K 0.000 0.000 0.000
Pa1 Pa 0.333 0.667 0.357
Pa2 Pa 0.667 0.333 0.643
B1 B 0.000 0.000 0.500
O1 O 0.162 0.324 0.616
O2 O 0.162 0.838 0.616
O3 O 0.324 0.162 0.384
O4 O 0.333 0.667 0.137
O5 O 0.667 0.333 0.863
O6 O 0.676 0.838 0.616
O7 O 0.838 0.162 0.384
O8 O 0.838 0.676 0.384
# - DOS(E_F): 5.408 states/eV/cell
# - Energy: -94.550 eV/cell
# - Total magnetic moment: 0.00 μB/f.u.